1.
## AlFeSCl (PBE)

Data for a geometry-optimized AlFeSCl structure.

Values from the calculation:
Density: 3.1 g/cm3
Magnetic moment: 0.0 μB per formula unit
E_tot: -20.21 eV per cell
Formation energy (no corrections): -0.508 eV per atom

Cell lengths 3.0460, 3.8149, 7.8096 Å; angles 97.84, 96.16, 113.53 degrees
With the nearest neighbours (Å) after each atom.
Positions (direct):
S1 0.1357 0.7647 0.3029  3 Fe 2.13-2.18
Cl1 0.4337 0.0880 0.7997  2 Al 2.32
Fe1 0.4730 0.4000 0.3743  3 S 2.13-2.18
Al1 0.8606 0.0663 0.5729  2 Cl 2.32, 1 Fe 2.53

2.
## AlFeSCl (PBE)

Data for a geometry-optimized AlFeSCl structure.

Values from the calculation:
Density: 3.7 g/cm3
Magnetic moment: 2.6 μB per formula unit
E_tot: -38.95 eV per cell
Formation energy (no corrections): -0.324 eV per atom

Cell lengths 3.2748, 4.8813, 8.5389 Å; angles 90.00, 90.00, 90.00 degrees
With the nearest neighbours (Å) after each atom.
Positions (direct):
Al1 0.0000 0.5000 0.5687  2 S 2.41, 2 Cl 2.47, 2 Fe 2.67
Al2 0.0000 0.0000 0.0687  2 S 2.41, 2 Cl 2.47, 2 Fe 2.67
S1 0.5000 0.0000 0.2752  2 Al 2.41, 2 Fe 2.47
Fe1 0.5000 0.0000 0.8215  2 Cl 2.41, 2 S 2.47, 2 Al 2.67
Cl1 0.0000 0.5000 0.1149  2 Fe 2.41, 2 Al 2.47
S2 0.5000 0.5000 0.7752  2 Al 2.41, 2 Fe 2.47
Cl2 0.0000 0.0000 0.6149  2 Fe 2.41, 2 Al 2.47
Fe2 0.5000 0.5000 0.3215  2 Cl 2.41, 2 S 2.47, 2 Al 2.67

no.,relative energy among the computed polymorphs (kcal/mol of atoms)
1,1.57
2,5.81